No. 1
The following is a PBE calculation of an optimized crystal structure of CaLa3Dy2Te6, from Alexandria via LeMat-Bulk.

```
CaLa3Dy2Te6
1.0
9.8063 -2.2292 0.0000
9.8063 2.2292 0.0000
-2.1799 0.0000 8.7816
Ca La Dy Te
1 3 2 6
Cartesian
0.0000 0.0000 0.0000 Ca
-1.0900 0.0000 4.3908 La
6.1869 0.0000 1.4969 La
11.2457 0.0000 7.2846 La
5.0506 0.0000 5.8094 Dy
12.3820 0.0000 2.9721 Dy
3.0220 0.0000 0.8218 Te
2.0684 0.0000 5.0412 Te
8.0528 0.0000 6.6393 Te
9.3799 0.0000 2.1422 Te
15.3643 0.0000 3.7404 Te
14.4107 0.0000 7.9598 Te
```

E_tot = -5.228 eV per atom
Density of states at the Fermi level = 6.29 states/eV per cell

---

No. 2
The following is a PBE calculation of an optimized crystal structure of CaLaDy2Tl4, from Alexandria via LeMat-Bulk.

```
CaLaDy2Tl4
1.0
2.7242 1.5728 9.0159
-2.7242 1.5728 9.0159
0.0000 -3.1456 9.0159
Ca La Dy Tl
1 1 2 4
Cartesian
0.0000 0.0000 0.0000 Ca
0.0000 0.0000 13.5239 La
0.0000 0.0000 6.8361 Dy
0.0000 0.0000 20.2116 Dy
0.0000 0.0000 3.3535 Tl
0.0000 0.0000 10.1121 Tl
0.0000 0.0000 16.9357 Tl
0.0000 0.0000 23.6942 Tl
```

E_tot = -3.577 eV per atom
Density of states at the Fermi level = 5.30 states/eV per cell
ΔE_f = -3.02 eV/f.u.

---

No. 3
The following is a PBE calculation of an optimized crystal structure of CaLaDyTl, from Alexandria via LeMat-Bulk.

```
CaLaDyTl
1.0
7.9625 0.0000 0.0000
0.0000 7.9625 0.0000
0.0000 0.0000 7.9625
Ca La Dy Tl
4 4 4 4
Cartesian
0.0000 0.0000 0.0000 Ca
0.0000 3.9813 3.9813 Ca
3.9813 0.0000 3.9813 Ca
3.9813 3.9813 0.0000 Ca
1.9906 1.9906 5.9719 La
1.9906 5.9719 1.9906 La
5.9719 1.9906 1.9906 La
5.9719 5.9719 5.9719 La
1.9906 1.9906 1.9906 Dy
1.9906 5.9719 5.9719 Dy
5.9719 1.9906 5.9719 Dy
5.9719 5.9719 1.9906 Dy
0.0000 0.0000 3.9813 Tl
0.0000 3.9813 0.0000 Tl
3.9813 0.0000 0.0000 Tl
3.9813 3.9813 3.9813 Tl
```

E_tot = -3.566 eV per atom
Density of states at the Fermi level = 13.41 states/eV per cell
ΔE_f = -0.37 eV/f.u.

---

No. 4
The following is a PBE calculation of an optimized crystal structure of CaLa3Dy2Y6, from Alexandria via LeMat-Bulk.

```
CaLa3Dy2Y6
1.0
3.1540 -5.4648 0.0000
3.1540 5.4648 0.0000
-2.1040 0.0000 11.7957
Ca La Dy Y
1 3 2 6
Cartesian
0.0000 0.0000 0.0000 Ca
2.1020 3.6562 5.8978 La
2.1020 0.0000 5.8978 La
2.1020 -3.6562 5.8978 La
3.1540 1.8203 0.0000 Dy
3.1540 -1.8203 0.0000 Dy
1.0687 1.8515 2.9275 Y
0.0322 0.0000 8.8711 Y
1.0687 -1.8515 2.9275 Y
3.1353 1.8515 8.8682 Y
4.1719 0.0000 2.9246 Y
3.1353 -1.8515 8.8682 Y
```

E_tot = -5.344 eV per atom
Density of states at the Fermi level = 19.72 states/eV per cell
ΔE_f = 0.64 eV/f.u.

---

No. 5
The following is a PBE calculation of an optimized crystal structure of CaLaDyZn, from Alexandria via LeMat-Bulk.

```
CaLaDyZn
1.0
3.6097 0.0000 0.0000
0.0000 3.6097 0.0000
0.0000 0.0000 9.3561
Ca La Dy Zn
1 1 1 1
Cartesian
0.0000 0.0000 0.0000 Ca
1.8049 1.8049 6.2492 La
0.0000 0.0000 3.6330 Dy
1.8049 1.8049 1.9520 Zn
```

E_tot = -3.329 eV per atom
Density of states at the Fermi level = 5.17 states/eV per cell
ΔE_f = -0.51 eV/f.u.

---

No. 6
The following is a PBE calculation of an optimized crystal structure of LiCaDy2, from Alexandria via LeMat-Bulk.

```
LiCaDy2
1.0
3.6754 0.0000 0.0000
0.0000 3.6754 0.0000
0.0000 0.0000 9.0389
Li Ca Dy
1 1 2
Cartesian
0.0000 0.0000 0.0000 Li
0.0000 0.0000 4.5194 Ca
1.8377 1.8377 1.8056 Dy
1.8377 1.8377 7.2332 Dy
```

E_tot = -3.118 eV per atom
Energy relative to the lowest polymorph listed for this composition = 0.0 meV/atom
Density of states at the Fermi level = 7.32 states/eV per cell
ΔE_f = 0.65 eV/f.u.

---

No. 7
The following is a PBE calculation of an optimized crystal structure of LiCa2Dy, from Alexandria via LeMat-Bulk.

```
LiCa2Dy
1.0
4.0608 0.0000 0.0000
0.0000 4.0608 0.0000
0.0000 0.0000 8.0971
Li Ca Dy
1 2 1
Cartesian
0.0000 0.0000 0.0000 Li
2.0304 2.0304 1.8945 Ca
2.0304 2.0304 6.2026 Ca
0.0000 0.0000 4.0485 Dy
```

E_tot = -2.525 eV per atom
Energy relative to the lowest polymorph listed for this composition = 0.0 meV/atom
Density of states at the Fermi level = 2.95 states/eV per cell
ΔE_f = 0.42 eV/f.u.

---

No. 8
The following is a PBE calculation of an optimized crystal structure of LiCaDy2, from Alexandria via LeMat-Bulk.

```
LiCaDy2
1.0
3.4497 0.0000 0.0000
-1.7249 2.9876 0.0000
0.0000 0.0000 36.3877
Li Ca Dy
3 3 6
Cartesian
0.0000 0.0000 0.0000 Li
0.0000 1.9917 24.2585 Li
1.7249 0.9959 12.1292 Li
0.0000 0.0000 18.1938 Ca
0.0000 1.9917 6.0646 Ca
1.7249 0.9959 30.3230 Ca
0.0000 0.0000 14.8103 Dy
0.0000 0.0000 21.5773 Dy
0.0000 1.9917 2.6811 Dy
0.0000 1.9917 9.4481 Dy
1.7249 0.9959 26.9396 Dy
1.7249 0.9959 33.7065 Dy
```

E_tot = -3.000 eV per atom
Energy relative to the lowest polymorph listed for this composition = 118.5 meV/atom
Density of states at the Fermi level = 14.33 states/eV per cell
ΔE_f = 1.12 eV/f.u.